(1)
First-principles (PBE-GGA) data for an optimized crystal structure of Cs2RbYI6, as listed in Alexandria via LeMat-Bulk.

Computed properties:
Space group: Fm-3m (225)
Energy above the most stable polymorph in this dataset: 0.168 eV per formula unit
E_form (uncorrected): -1.47 eV/atom
Density of states at the Fermi level: 0.00 states/eV/f.u.

Cell lengths 9.214, 9.214, 9.214 Å; angles 60.00, 60.00, 60.00 degrees
Fractional coordinates of all 10 atoms:
Cs (0.250, 0.250, 0.250)
Cs (0.750, 0.750, 0.750)
Rb (0.000, 0.000, 0.000)
Y (0.500, 0.500, 0.500)
I (0.268, 0.268, 0.732)
I (0.268, 0.732, 0.268)
I (0.268, 0.732, 0.732)
I (0.732, 0.268, 0.268)
I (0.732, 0.268, 0.732)
I (0.732, 0.732, 0.268)

=====

(2)
First-principles (PBE-GGA) data for an optimized crystal structure of CsRbZnI4, as listed in Alexandria via LeMat-Bulk.

Computed properties:
Space group: P2_1/m (11)
E_form (uncorrected): -1.16 eV/atom
Density of states at the Fermi level: 0.00 states/eV/f.u.

Cell lengths 8.152, 8.305, 10.739 Å; angles 90.00, 108.93, 90.00 degrees
Fractional coordinates of all 14 atoms:
Cs (0.215, 0.250, 0.422)
Cs (0.785, 0.750, 0.578)
Rb (0.280, 0.250, 0.953)
Rb (0.720, 0.750, 0.047)
Zn (0.298, 0.750, 0.202)
Zn (0.702, 0.250, 0.798)
I (0.099, 0.750, 0.354)
I (0.122, 0.750, 0.948)
I (0.491, 0.502, 0.742)
I (0.491, 0.998, 0.742)
I (0.509, 0.002, 0.258)
I (0.509, 0.498, 0.258)
I (0.878, 0.250, 0.052)
I (0.901, 0.250, 0.646)

=====

(3)
First-principles (PBE-GGA) data for an optimized crystal structure of CsRb2ZrI6, as listed in Alexandria via LeMat-Bulk.

Computed properties:
Space group: Fm-3m (225)
E_form (uncorrected): -1.15 eV/atom
Density of states at the Fermi level: 12.29 states/eV/f.u.

Cell lengths 9.220, 9.220, 9.220 Å; angles 60.00, 60.00, 60.00 degrees
Fractional coordinates of all 10 atoms:
Cs (0.000, 0.000, 0.000)
Rb (0.250, 0.250, 0.250)
Rb (0.750, 0.750, 0.750)
Zr (0.500, 0.500, 0.500)
I (0.276, 0.276, 0.724)
I (0.276, 0.724, 0.276)
I (0.276, 0.724, 0.724)
I (0.724, 0.276, 0.276)
I (0.724, 0.276, 0.724)
I (0.724, 0.724, 0.276)

=====

(4)
First-principles (PBE-GGA) data for an optimized crystal structure of Cs2RbZrI6, as listed in Alexandria via LeMat-Bulk.

Computed properties:
Space group: Pmmn (59)
E_form (uncorrected): -1.24 eV/atom
Density of states at the Fermi level: 6.40 states/eV/f.u.

Cell lengths 8.543, 12.822, 9.942 Å; angles 90.00, 90.00, 90.00 degrees
Fractional coordinates of all 20 atoms:
Cs (0.250, 0.038, 0.184)
Cs (0.250, 0.462, 0.184)
Cs (0.750, 0.538, 0.816)
Cs (0.750, 0.962, 0.816)
Rb (0.250, 0.250, 0.693)
Rb (0.750, 0.750, 0.307)
Zr (0.250, 0.750, 0.800)
Zr (0.750, 0.250, 0.200)
I (0.003, 0.750, 0.596)
I (0.014, 0.750, 0.016)
I (0.250, 0.520, 0.796)
I (0.250, 0.980, 0.796)
I (0.486, 0.750, 0.016)
I (0.497, 0.750, 0.596)
I (0.503, 0.250, 0.404)
I (0.514, 0.250, 0.984)
I (0.750, 0.020, 0.204)
I (0.750, 0.480, 0.204)
I (0.986, 0.250, 0.984)
I (0.997, 0.250, 0.404)

=====

(5)
First-principles (PBE-GGA) data for an optimized crystal structure of CsRb2ZrI8, as listed in Alexandria via LeMat-Bulk.

Computed properties:
Space group: P-1 (2)
E_form (uncorrected): -1.10 eV/atom
Density of states at the Fermi level: 1.87 states/eV/f.u.

Cell lengths 6.999, 8.414, 11.231 Å; angles 90.09, 90.26, 90.20 degrees
Fractional coordinates of all 12 atoms:
Cs (0.000, 0.000, 0.000)
Rb (0.497, 0.500, 0.717)
Rb (0.503, 0.500, 0.283)
Zr (0.000, 0.000, 0.500)
I (0.200, 0.701, 0.498)
I (0.242, 0.506, 0.000)
I (0.244, 0.121, 0.315)
I (0.247, 0.118, 0.687)
I (0.753, 0.882, 0.313)
I (0.756, 0.879, 0.685)
I (0.758, 0.494, 0.000)
I (0.800, 0.299, 0.502)

=====

(6)
First-principles (PBE-GGA) data for an optimized crystal structure of CsRbZrI6, as listed in Alexandria via LeMat-Bulk.

Computed properties:
Space group: P-31c (163)
E_form (uncorrected): -1.19 eV/atom
Density of states at the Fermi level: 0.00 states/eV/f.u.

Cell lengths 8.945, 8.945, 14.632 Å; angles 90.00, 90.00, 120.00 degrees
Fractional coordinates of all 18 atoms:
Cs (0.000, 0.000, 0.000)
Cs (0.000, 0.000, 0.500)
Rb (0.333, 0.667, 0.250)
Rb (0.667, 0.333, 0.750)
Zr (0.333, 0.667, 0.750)
Zr (0.667, 0.333, 0.250)
I (0.068, 0.407, 0.635)
I (0.068, 0.661, 0.865)
I (0.339, 0.407, 0.865)
I (0.339, 0.932, 0.635)
I (0.407, 0.068, 0.135)
I (0.407, 0.339, 0.365)
I (0.593, 0.661, 0.635)
I (0.593, 0.932, 0.865)
I (0.661, 0.068, 0.365)
I (0.661, 0.593, 0.135)
I (0.932, 0.339, 0.135)
I (0.932, 0.593, 0.365)

=====

(7)
First-principles (PBE-GGA) data for an optimized crystal structure of Cs3ReI, as listed in Alexandria via LeMat-Bulk.

Computed properties:
Space group: Pm-3m (221)
E_form (uncorrected): 0.73 eV/atom
Density of states at the Fermi level: 5.21 states/eV/f.u.

Cell lengths 6.061, 6.061, 6.061 Å; angles 90.00, 90.00, 90.00 degrees
Fractional coordinates of all 5 atoms:
Cs (0.000, 0.000, 0.500)
Cs (0.000, 0.500, 0.000)
Cs (0.500, 0.000, 0.000)
Re (0.000, 0.000, 0.000)
I (0.500, 0.500, 0.500)

=====

(8)
First-principles (PBE-GGA) data for an optimized crystal structure of CsReI6, as listed in Alexandria via LeMat-Bulk.

Computed properties:
Space group: C2/m (12)
E_form (uncorrected): -0.31 eV/atom
Density of states at the Fermi level: 3.00 states/eV/f.u.

Cell lengths 7.548, 7.548, 7.025 Å; angles 102.23, 102.23, 72.40 degrees
Fractional coordinates of all 8 atoms:
Cs (0.000, 0.000, 0.000)
Re (0.500, 0.500, 0.500)
I (0.137, 0.569, 0.304)
I (0.393, 0.393, 0.787)
I (0.431, 0.863, 0.696)
I (0.569, 0.137, 0.304)
I (0.607, 0.607, 0.213)
I (0.863, 0.431, 0.696)

=====

(9)
First-principles (PBE-GGA) data for an optimized crystal structure of CsReI3, as listed in Alexandria via LeMat-Bulk.

Computed properties:
Space group: Pm-3m (221)
E_form (uncorrected): -0.04 eV/atom
Density of states at the Fermi level: 2.49 states/eV/f.u.

Cell lengths 5.751, 5.751, 5.751 Å; angles 90.00, 90.00, 90.00 degrees
Fractional coordinates of all 5 atoms:
Cs (0.000, 0.000, 0.000)
Re (0.500, 0.500, 0.500)
I (0.000, 0.500, 0.500)
I (0.500, 0.000, 0.500)
I (0.500, 0.500, 0.000)

=====

(10)
First-principles (PBE-GGA) data for an optimized crystal structure of CsReRuI2, as listed in Alexandria via LeMat-Bulk.

Computed properties:
Space group: P4/mmm (123)
E_form (uncorrected): 1.71 eV/atom
Density of states at the Fermi level: 5.31 states/eV/f.u.

Cell lengths 5.359, 5.359, 6.383 Å; angles 90.00, 90.00, 90.00 degrees
Fractional coordinates of all 5 atoms:
Cs (0.000, 0.000, 0.000)
Re (0.000, 0.000, 0.500)
Ru (0.500, 0.500, 0.000)
I (0.000, 0.500, 0.500)
I (0.500, 0.000, 0.500)

=====

(11)
First-principles (PBE-GGA) data for an optimized crystal structure of Cs3Re3S4I4, as listed in Alexandria via LeMat-Bulk.

Computed properties:
Space group: Fm-3m (225)
E_form (uncorrected): -0.99 eV/atom
Density of states at the Fermi level: 0.00 states/eV/f.u.

Cell lengths 11.573, 11.573, 11.573 Å; angles 60.00, 60.00, 60.00 degrees
Fractional coordinates of all 28 atoms:
Cs (0.000, 0.000, 0.500)
Cs (0.000, 0.500, 0.000)
Cs (0.000, 0.500, 0.500)
Cs (0.500, 0.000, 0.000)
Cs (0.500, 0.000, 0.500)
Cs (0.500, 0.500, 0.000)
Re (0.113, 0.113, 0.887)
Re (0.113, 0.887, 0.113)
Re (0.113, 0.887, 0.887)
Re (0.887, 0.113, 0.113)
Re (0.887, 0.113, 0.887)
Re (0.887, 0.887, 0.113)
S (0.105, 0.105, 0.105)
S (0.105, 0.105, 0.686)
S (0.105, 0.686, 0.105)
S (0.314, 0.895, 0.895)
S (0.686, 0.105, 0.105)
S (0.895, 0.314, 0.895)
S (0.895, 0.895, 0.314)
S (0.895, 0.895, 0.895)
I (0.250, 0.250, 0.250)
I (0.285, 0.285, 0.715)
I (0.285, 0.715, 0.285)
I (0.285, 0.715, 0.715)
I (0.715, 0.285, 0.285)
I (0.715, 0.285, 0.715)
I (0.715, 0.715, 0.285)
I (0.750, 0.750, 0.750)

=====

(12)
First-principles (PBE-GGA) data for an optimized crystal structure of CsReSbI2, as listed in Alexandria via LeMat-Bulk.

Computed properties:
Space group: P4/mmm (123)
Energy above the most stable polymorph in this dataset: 0.000 eV per formula unit
E_form (uncorrected): 0.09 eV/atom
Density of states at the Fermi level: 2.85 states/eV/f.u.

Cell lengths 5.986, 5.986, 5.133 Å; angles 90.00, 90.00, 90.00 degrees
Fractional coordinates of all 5 atoms:
Cs (0.000, 0.000, 0.000)
Re (0.500, 0.500, 0.500)
Sb (0.500, 0.500, 0.000)
I (0.000, 0.500, 0.500)
I (0.500, 0.000, 0.500)

=====

(13)
First-principles (PBE-GGA) data for an optimized crystal structure of CsReSbI2, as listed in Alexandria via LeMat-Bulk.

Computed properties:
Space group: P4/mmm (123)
Energy above the most stable polymorph in this dataset: 8.025 eV per formula unit
E_form (uncorrected): 1.70 eV/atom
Density of states at the Fermi level: 3.85 states/eV/f.u.

Cell lengths 6.665, 6.665, 6.496 Å; angles 90.00, 90.00, 90.00 degrees
Fractional coordinates of all 5 atoms:
Cs (0.000, 0.000, 0.000)
Re (0.500, 0.500, 0.500)
Sb (0.000, 0.000, 0.500)
I (0.000, 0.500, 0.000)
I (0.500, 0.000, 0.000)

=====

(14)
First-principles (PBE-GGA) data for an optimized crystal structure of Cs2ReSbI6, as listed in Alexandria via LeMat-Bulk.

Computed properties:
Space group: I4/mmm (139)
E_form (uncorrected): -0.41 eV/atom
Density of states at the Fermi level: 6.66 states/eV/f.u.

Cell lengths 8.536, 8.536, 8.536 Å; angles 119.93, 119.93, 90.12 degrees
Fractional coordinates of all 10 atoms:
Cs (0.250, 0.750, 0.500)
Cs (0.750, 0.250, 0.500)
Re (0.000, 0.000, 0.000)
Sb (0.500, 0.500, 0.000)
I (0.234, 0.234, 0.000)
I (0.234, 0.234, 0.468)
I (0.234, 0.766, 0.000)
I (0.766, 0.234, 0.000)
I (0.766, 0.766, 0.000)
I (0.766, 0.766, 0.532)

=====

(15)
First-principles (PBE-GGA) data for an optimized crystal structure of CsReSeI2, as listed in Alexandria via LeMat-Bulk.

Computed properties:
Space group: P4/mmm (123)
E_form (uncorrected): 1.03 eV/atom
Density of states at the Fermi level: 2.54 states/eV/f.u.

Cell lengths 5.868, 5.868, 6.848 Å; angles 90.00, 90.00, 90.00 degrees
Fractional coordinates of all 5 atoms:
Cs (0.000, 0.000, 0.000)
Re (0.500, 0.500, 0.000)
Se (0.000, 0.000, 0.500)
I (0.000, 0.500, 0.500)
I (0.500, 0.000, 0.500)

=====

(16)
First-principles (PBE-GGA) data for an optimized crystal structure of Cs2SrReI6, as listed in Alexandria via LeMat-Bulk.

Computed properties:
Space group: Fm-3m (225)
E_form (uncorrected): -0.83 eV/atom
Density of states at the Fermi level: 7.86 states/eV/f.u.

Cell lengths 8.468, 8.468, 8.468 Å; angles 60.00, 60.00, 60.00 degrees
Fractional coordinates of all 10 atoms:
Cs (0.250, 0.250, 0.250)
Cs (0.750, 0.750, 0.750)
Sr (0.000, 0.000, 0.000)
Re (0.500, 0.500, 0.500)
I (0.269, 0.269, 0.731)
I (0.269, 0.731, 0.269)
I (0.269, 0.731, 0.731)
I (0.731, 0.269, 0.269)
I (0.731, 0.269, 0.731)
I (0.731, 0.731, 0.269)

=====

(17)
First-principles (PBE-GGA) data for an optimized crystal structure of CsReTeI2, as listed in Alexandria via LeMat-Bulk.

Computed properties:
Space group: P4/mmm (123)
E_form (uncorrected): -0.03 eV/atom
Density of states at the Fermi level: 2.94 states/eV/f.u.

Cell lengths 5.927, 5.927, 5.118 Å; angles 90.00, 90.00, 90.00 degrees
Fractional coordinates of all 5 atoms:
Cs (0.000, 0.000, 0.000)
Re (0.500, 0.500, 0.500)
Te (0.500, 0.500, 0.000)
I (0.000, 0.500, 0.500)
I (0.500, 0.000, 0.500)

=====

(18)
First-principles (PBE-GGA) data for an optimized crystal structure of Cs2TiReI6, as listed in Alexandria via LeMat-Bulk.

Computed properties:
Space group: I4/mmm (139)
E_form (uncorrected): -0.44 eV/atom
Density of states at the Fermi level: 14.61 states/eV/f.u.

Cell lengths 8.379, 8.379, 8.379 Å; angles 121.73, 121.73, 87.03 degrees
Fractional coordinates of all 10 atoms:
Cs (0.250, 0.750, 0.500)
Cs (0.750, 0.250, 0.500)
Ti (0.000, 0.000, 0.000)
Re (0.500, 0.500, 0.000)
I (0.238, 0.238, 0.000)
I (0.256, 0.256, 0.511)
I (0.256, 0.744, 0.000)
I (0.744, 0.256, 0.000)
I (0.744, 0.744, 0.489)
I (0.762, 0.762, 0.000)

=====

(19)
First-principles (PBE-GGA) data for an optimized crystal structure of Cs2YReI6, as listed in Alexandria via LeMat-Bulk.

Computed properties:
Space group: Fm-3m (225)
E_form (uncorrected): -0.70 eV/atom
Density of states at the Fermi level: 0.00 states/eV/f.u.

Cell lengths 8.217, 8.217, 8.217 Å; angles 60.00, 60.00, 60.00 degrees
Fractional coordinates of all 10 atoms:
Cs (0.250, 0.250, 0.250)
Cs (0.750, 0.750, 0.750)
Y (0.000, 0.000, 0.000)
Re (0.500, 0.500, 0.500)
I (0.262, 0.262, 0.738)
I (0.262, 0.738, 0.262)
I (0.262, 0.738, 0.738)
I (0.738, 0.262, 0.262)
I (0.738, 0.262, 0.738)
I (0.738, 0.738, 0.262)

=====

(20)
First-principles (PBE-GGA) data for an optimized crystal structure of Cs2ZrReI6, as listed in Alexandria via LeMat-Bulk.

Computed properties:
Space group: I4/mmm (139)
E_form (uncorrected): -0.45 eV/atom
Density of states at the Fermi level: 8.99 states/eV/f.u.

Cell lengths 8.135, 8.135, 8.135 Å; angles 119.96, 119.96, 90.07 degrees
Fractional coordinates of all 10 atoms:
Cs (0.250, 0.750, 0.500)
Cs (0.750, 0.250, 0.500)
Zr (0.000, 0.000, 0.000)
Re (0.500, 0.500, 0.000)
I (0.258, 0.258, 0.000)
I (0.258, 0.258, 0.515)
I (0.258, 0.742, 0.000)
I (0.742, 0.258, 0.000)
I (0.742, 0.742, 0.000)
I (0.742, 0.742, 0.485)

=====

(21)
First-principles (PBE-GGA) data for an optimized crystal structure of CsRh3I, as listed in Alexandria via LeMat-Bulk.

Computed properties:
Space group: Pm-3m (221)
Energy above the most stable polymorph in this dataset: 0.000 eV per formula unit
E_form (uncorrected): 0.88 eV/atom
Density of states at the Fermi level: 6.89 states/eV/f.u.

Cell lengths 5.042, 5.042, 5.042 Å; angles 90.00, 90.00, 90.00 degrees
Fractional coordinates of all 5 atoms:
Cs (0.000, 0.000, 0.000)
Rh (0.000, 0.500, 0.500)
Rh (0.500, 0.000, 0.500)
Rh (0.500, 0.500, 0.000)
I (0.500, 0.500, 0.500)